1.
First-principles (PBEsol) data for a geometry-optimized NiRh2W structure, as listed in Alexandria via LeMat-Bulk.

abc: 2.7022 3.6728 5.3554
angles: 90.00 90.00 90.00
Closest atoms and distances in Å follow each position.
Atoms (fractional coordinates):
Ni1 0.5000 0.5000 0.5000  8 Rh 2.62, 2 W 2.68, 2 Ni 2.70
W1 0.5000 0.5000 0.0000  8 Rh 2.67, 2 Ni 2.68, 2 W 2.70
Rh1 0.0000 0.0000 0.2595  4 Rh 2.58-2.78, 4 Ni 2.62, 4 W 2.67
Rh2 0.0000 0.0000 0.7405  4 Rh 2.58-2.78, 4 Ni 2.62, 4 W 2.67

Space group: Pmmm



2.
First-principles (PBEsol) data for a geometry-optimized NiRh2W structure, as listed in Alexandria via LeMat-Bulk.

abc: 3.7913 3.7913 4.5524
angles: 114.61 114.61 90.00
Closest atoms and distances in Å follow each position.
Atoms (fractional coordinates):
W1 0.0000 0.0000 0.0000  8 Rh 2.64, 4 Ni 2.68
Ni1 0.5000 0.5000 0.0000  8 Rh 2.64, 4 W 2.68
Rh1 0.2500 0.7500 0.5000  4 W 2.64, 4 Ni 2.64, 4 Rh 2.68
Rh2 0.7500 0.2500 0.5000  4 W 2.64, 4 Ni 2.64, 4 Rh 2.68

Space group: I4/mmm



| no. | E above lowest polymorph (kJ/mol of formula units) | energy of formation from the pure elements (eV/f.u.) |
| --- | --- | --- |
| 1 | 22 | -0.589 |
| 2 | 0 | -0.819 |